# LaV3Co | Alexandria | GGA-PBE | relaxed
data_LaV3Co
_cell_length_a 4.5559
_cell_length_b 4.5559
_cell_length_c 4.5559
_cell_angle_alpha 90.00
_cell_angle_beta 90.00
_cell_angle_gamma 90.00
_symmetry_space_group_name_H-M 'P m -3 m'
_symmetry_Int_Tables_number 221
_symmetry_space_group_name_Hall '-P 4 2 3'
loop_
_atom_site_label
_atom_site_type_symbol
_atom_site_fract_x
_atom_site_fract_y
_atom_site_fract_z
La1 La 0.0000 0.0000 0.0000
V1 V 0.0000 0.5000 0.5000
Co1 Co 0.5000 0.5000 0.5000
# ΔE to the lowest computed polymorph ... 0.000 eV/atom
# Total magnetization ... 0.815 μB per atom
# Calculated formation energy ... 522 meV/atom